Entry 1:
{
  "formula": "LiCaSn2Cl6",
  "functional": "PBE-GGA",
  "state": "relaxed",
  "m_tot_mub_per_atom": 0.10,
  "crystal_system": "triclinic",
  "sg": "No. 1",
  "raw_formation_energy_mev_per_atom": -1376,
  "lattice_angstrom": [[7.4711, -0.0044, -0.0033], [-3.7393, 6.4657, -0.0002], [-3.7335, -2.1523, 6.3662]],
  "species": ["Li", "Ca", "Sn", "Sn", "Cl", "Cl", "Cl", "Cl", "Cl", "Cl"],
  "frac_coords": [[0.8179, 0.4084, 0.2122], [0.0353, 0.0172, 0.0384], [0.6302, 0.8147, 0.4307], [0.4793, 0.2388, 0.7044], [0.5473, 0.8946, 0.7288], [0.5090, 0.1214, 0.2436], [0.8704, 0.7481, 0.2431], [0.1359, 0.3867, 0.2430], [0.8479, 0.6514, 0.7290], [0.0923, 0.1962, 0.7294]]
}

Entry 2:
{
  "formula": "Sr2LiCaCl",
  "functional": "PBE-GGA",
  "state": "relaxed",
  "m_tot_mub_per_atom": 0.00,
  "crystal_system": "tetragonal",
  "sg": "No. 123",
  "raw_formation_energy_mev_per_atom": -563,
  "lattice_angstrom": [[-3.4956, -0.4549, -5.1459], [0.0733, -6.2171, 0.4999], [-4.0800, 0.1735, 2.7562]],
  "species": ["Sr", "Sr", "Ca", "Li", "Cl"],
  "frac_coords": [[0.0000, 0.5000, 0.0000], [0.5000, 0.0000, 0.0000], [0.5000, 0.5000, 0.5000], [0.0000, 0.0000, 0.5000], [0.0000, 0.0000, 0.0000]]
}

Entry 3:
{
  "formula": "Li2CaTaCl",
  "functional": "PBE-GGA",
  "state": "relaxed",
  "m_tot_mub_per_atom": 0.34,
  "crystal_system": "tetragonal",
  "sg": "No. 123",
  "raw_formation_energy_mev_per_atom": 1446,
  "lattice_angstrom": [[5.6548, 0.0000, 0.0000], [0.0000, 5.2533, 0.0000], [0.0000, 0.0000, 5.6548]],
  "species": ["Ca", "Cl", "Li", "Li", "Ta"],
  "frac_coords": [[0.0000, 0.0000, 0.0000], [0.5000, 0.5000, 0.5000], [0.0000, 0.0000, 0.5000], [0.5000, 0.0000, 0.0000], [0.0000, 0.5000, 0.0000]]
}

Entry 4:
{
  "formula": "Li2CaTcCl",
  "functional": "PBE-GGA",
  "state": "relaxed",
  "m_tot_mub_per_atom": 0.42,
  "crystal_system": "tetragonal",
  "sg": "No. 123",
  "raw_formation_energy_mev_per_atom": 1035,
  "lattice_angstrom": [[-1.1192, -1.4708, -5.5919], [3.0827, -3.8166, 0.3869], [-4.4523, -3.4147, 1.7893]],
  "species": ["Ca", "Li", "Li", "Tc", "Cl"],
  "frac_coords": [[0.0000, 0.0000, 0.0000], [0.0000, 0.0000, 0.5000], [0.5000, 0.0000, 0.0000], [0.0000, 0.5000, 0.0000], [0.5000, 0.5000, 0.5000]]
}

Entry 5:
{
  "formula": "LiCaTiCl2",
  "functional": "PBE-GGA",
  "state": "relaxed",
  "m_tot_mub_per_atom": 0.59,
  "crystal_system": "tetragonal",
  "sg": "No. 123",
  "raw_formation_energy_mev_per_atom": -418,
  "lattice_angstrom": [[4.8159, 0.0000, 0.0000], [0.0000, 6.9165, 0.0000], [0.0000, 0.0000, 4.8159]],
  "species": ["Ca", "Cl", "Cl", "Li", "Ti"],
  "frac_coords": [[0.0000, 0.5000, 0.0000], [0.0000, 0.0000, 0.5000], [0.5000, 0.0000, 0.0000], [0.5000, 0.5000, 0.5000], [0.0000, 0.0000, 0.0000]]
}

Entry 6:
{
  "formula": "LiCaTlCl4",
  "functional": "PBE-GGA",
  "state": "relaxed",
  "m_tot_mub_per_atom": 0.00,
  "crystal_system": "monoclinic",
  "sg": "No. 11",
  "raw_formation_energy_mev_per_atom": -1808,
  "lattice_angstrom": [[6.7631, 0.0000, -0.0369], [0.0000, 6.9997, 0.0000], [-2.7002, 0.0000, 8.2609]],
  "species": ["Li", "Li", "Ca", "Ca", "Tl", "Tl", "Cl", "Cl", "Cl", "Cl", "Cl", "Cl", "Cl", "Cl"],
  "frac_coords": [[0.2421, 0.7500, 0.3229], [0.7579, 0.2500, 0.6771], [0.7911, 0.7500, 0.4506], [0.2089, 0.2500, 0.5494], [0.7365, 0.7500, 0.9370], [0.2635, 0.2500, 0.0630], [0.0018, 0.4988, 0.7041], [0.9982, 0.9988, 0.2959], [0.9982, 0.5012, 0.2959], [0.0018, 0.0012, 0.7041], [0.4588, 0.7500, 0.1621], [0.5412, 0.2500, 0.8379], [0.4752, 0.7500, 0.5844], [0.5248, 0.2500, 0.4156]]
}